First-principles (meta-GGA SCAN) data for K2BeTl at its PBEsol-relaxed geometry, as listed in Alexandria.

It has space group Amm2 (No. 38), with a = 4.610 Å, b = 6.015 Å, c = 10.444 Å, α = 90.00°, β = 90.00° and γ = 90.00°. The inequivalent atoms are K at (0.000, 0.000, 0.000), K at (0.500, 0.000, 0.333), Be at (0.500, 0.000, 0.666) and Tl at (0.000, 0.000, 0.667).

For the formation energy, the calculation gives 0.5 eV per formula unit. The value obtained for the calculated total energy is -185.684 eV per cell. Its energy above the lowest structure with this stoichiometry is 0 meV per atom.